No. 1
## TbCePa2 (PBE)

Data for an optimized crystal structure of TbCePa2.

Computed properties:
The volume comes out at 28.14 Å³/atom. Its energy above the most stable polymorph in this dataset is 0.233 eV per atom. As for the formation energy: 8.99 kcal/mol of atoms.

a = 5.729 Å, b = 5.729 Å, c = 5.729 Å
α = 53.46°, β = 53.46°, γ = 53.46°
Fractional coordinates of all 4 atoms:
Tb1 0.000 0.000 0.000
Ce1 0.500 0.500 0.500
Pa1 0.210 0.210 0.210
Pa2 0.790 0.790 0.790

=====

No. 2
## Ca3Tb3AgSe8 (PBE)

Data for an optimized crystal structure of Ca3Tb3AgSe8.

Computed properties:
The volume comes out at 26.80 Å³/atom. The total DFT energy (no corrections) comes out at -75.77 eV per cell.

a = 8.309 Å, b = 8.309 Å, c = 8.309 Å
α = 59.61°, β = 59.61°, γ = 59.61°
Fractional coordinates of all 15 atoms:
Ca1 0.000 0.500 0.500
Ca2 0.500 0.000 0.500
Ca3 0.500 0.500 0.000
Tb1 0.000 0.000 0.500
Tb2 0.000 0.500 0.000
Tb3 0.500 0.000 0.000
Ag1 0.500 0.500 0.500
Se1 0.239 0.752 0.752
Se2 0.248 0.248 0.248
Se3 0.248 0.248 0.761
Se4 0.248 0.761 0.248
Se5 0.752 0.239 0.752
Se6 0.752 0.752 0.239
Se7 0.752 0.752 0.752
Se8 0.761 0.248 0.248

=====

No. 3
## DyY3Er6Tm2 (PBE)

Data for an optimized crystal structure of DyY3Er6Tm2.

Computed properties:
The volume comes out at 30.90 Å³/atom. As for the formation energy: 0.58 kcal/mol of atoms.

a = 6.098 Å, b = 6.098 Å, c = 11.683 Å
α = 94.98°, β = 94.98°, γ = 119.93°
Fractional coordinates of all 12 atoms:
Dy1 0.000 0.000 0.000
Y1 0.167 0.833 0.500
Y2 0.500 0.500 0.500
Y3 0.833 0.167 0.500
Er1 0.083 0.416 0.248
Er2 0.251 0.251 0.752
Er3 0.416 0.083 0.248
Er4 0.584 0.917 0.752
Er5 0.749 0.749 0.248
Er6 0.917 0.584 0.752
Tm1 0.333 0.667 0.000
Tm2 0.667 0.333 0.000

=====

No. 4
## Sr2TcHg (PBE)

Data for an optimized crystal structure of Sr2TcHg.

Computed properties:
The volume comes out at 31.10 Å³/atom. As for the formation energy: 13.18 kcal/mol of atoms.

a = 4.271 Å, b = 4.271 Å, c = 9.304 Å
α = 98.05°, β = 98.05°, γ = 47.88°
Fractional coordinates of all 4 atoms:
Sr1 0.246 0.246 0.222
Sr2 0.754 0.754 0.778
Tc1 0.500 0.500 0.000
Hg1 0.000 0.000 0.500